*1*
The following is a DFT calculation (PBE-GGA) of a geometry-optimized NpIrPd structure.

The structure in CIF format:
```
data_NpIrPd
_symmetry_space_group_name_H-M 'I 4 m m'
_symmetry_Int_Tables_number 107
_symmetry_space_group_name_Hall 'I 4 -2'
_cell_length_a 3.5267
_cell_length_b 3.5267
_cell_length_c 9.0435
_cell_angle_alpha 90.00
_cell_angle_beta 90.00
_cell_angle_gamma 90.00
loop_
_atom_site_label
_atom_site_fract_x
_atom_site_fract_y
_atom_site_fract_z
Np1 0.0000 0.0000 0.0000
Ir1 0.0000 0.0000 0.3562
Pd1 0.0000 0.0000 0.6804
```



*2*
The following is a DFT calculation (PBE-GGA) of a geometry-optimized NpIrPd structure.

The structure in CIF format:
```
data_NpIrPd
_symmetry_space_group_name_H-M 'P 4/n m m'
_symmetry_Int_Tables_number 129
_cell_length_a 4.2336
_cell_length_b 4.2336
_cell_length_c 6.5445
_cell_angle_alpha 90.00
_cell_angle_beta 90.00
_cell_angle_gamma 90.00
loop_
_symmetry_equiv_pos_as_xyz
'x,y,z'
'-x,-y,-z'
'-y+1/2,x,z'
'y+1/2,-x,-z'
'-x+1/2,-y+1/2,z'
'x+1/2,y+1/2,-z'
'y,-x+1/2,z'
'-y,x+1/2,-z'
'x+1/2,-y,-z'
'-x+1/2,y,z'
'-y,-x,-z'
'y,x,z'
'-x,y+1/2,-z'
'x,-y+1/2,z'
'y+1/2,x+1/2,-z'
'-y+1/2,-x+1/2,z'
loop_
_atom_site_label
_atom_site_fract_x
_atom_site_fract_y
_atom_site_fract_z
Np1 0.2500 0.2500 0.2075
Ir1 0.2500 0.7500 0.5000
Pd1 0.2500 0.2500 0.7883
```



Most stable one: *2*, least stable one: *1*.



*1*
The following is a DFT calculation (PBE-GGA) of a geometry-optimized NpIr2Pd structure.

The structure in CIF format:
```
data_NpIr2Pd
_symmetry_space_group_name_H-M 'R -3 m'
_symmetry_Int_Tables_number 166
_symmetry_space_group_name_Hall '-R 3 2"'
_cell_length_a 4.5905
_cell_length_b 4.5905
_cell_length_c 11.3382
_cell_angle_alpha 90.00
_cell_angle_beta 90.00
_cell_angle_gamma 120.00
loop_
_atom_site_label
_atom_site_fract_x
_atom_site_fract_y
_atom_site_fract_z
Np1 0.0000 0.0000 0.0000
Ir1 0.0000 0.0000 0.2534
Pd1 0.0000 0.0000 0.5000
```



*2*
The following is a DFT calculation (PBE-GGA) of a geometry-optimized NpIr2Pd structure.

The structure in CIF format:
```
data_NpIr2Pd
_symmetry_space_group_name_H-M 'P 4/m m m'
_symmetry_Int_Tables_number 123
_symmetry_space_group_name_Hall '-P 4 2'
_cell_length_a 4.1306
_cell_length_b 4.1306
_cell_length_c 3.9527
_cell_angle_alpha 90.00
_cell_angle_beta 90.00
_cell_angle_gamma 90.00
loop_
_atom_site_label
_atom_site_fract_x
_atom_site_fract_y
_atom_site_fract_z
Np1 0.0000 0.0000 0.0000
Ir1 0.0000 0.5000 0.5000
Pd1 0.5000 0.5000 0.0000
```



Most stable one: *2*, least stable one: *1*.



*1*
The following is a DFT calculation (PBE-GGA) of a geometry-optimized NpIrPd2 structure.

The structure in CIF format:
```
data_NpIrPd2
_symmetry_space_group_name_H-M 'F m -3 m'
_symmetry_Int_Tables_number 225
_symmetry_space_group_name_Hall '-F 4 2 3'
_cell_length_a 6.5602
_cell_length_b 6.5602
_cell_length_c 6.5602
_cell_angle_alpha 90.00
_cell_angle_beta 90.00
_cell_angle_gamma 90.00
loop_
_atom_site_label
_atom_site_fract_x
_atom_site_fract_y
_atom_site_fract_z
Np1 0.0000 0.0000 0.0000
Ir1 0.0000 0.0000 0.5000
Pd1 0.2500 0.2500 0.2500
```



*2*
The following is a DFT calculation (PBE-GGA) of a geometry-optimized NpIrPd2 structure.

The structure in CIF format:
```
data_NpIrPd2
_symmetry_space_group_name_H-M 'P 4/m m m'
_symmetry_Int_Tables_number 123
_symmetry_space_group_name_Hall '-P 4 2'
_cell_length_a 4.0115
_cell_length_b 4.0115
_cell_length_c 4.2816
_cell_angle_alpha 90.00
_cell_angle_beta 90.00
_cell_angle_gamma 90.00
loop_
_atom_site_label
_atom_site_fract_x
_atom_site_fract_y
_atom_site_fract_z
Np1 0.0000 0.0000 0.0000
Ir1 0.5000 0.5000 0.0000
Pd1 0.0000 0.5000 0.5000
```



Most stable one: *2*, least stable one: *1*.



*1*
The following is a DFT calculation (PBE-GGA) of a geometry-optimized NpIrPt structure.

The structure in CIF format:
```
data_NpIrPt
_symmetry_space_group_name_H-M 'I m m a'
_symmetry_Int_Tables_number 74
_symmetry_space_group_name_Hall '-I 2b 2'
_cell_length_a 5.3192
_cell_length_b 5.4280
_cell_length_c 7.6328
_cell_angle_alpha 90.00
_cell_angle_beta 90.00
_cell_angle_gamma 90.00
loop_
_atom_site_label
_atom_site_fract_x
_atom_site_fract_y
_atom_site_fract_z
Np1 0.0000 0.2500 0.1286
Ir1 0.0000 0.0000 0.5000
Pt1 0.2500 0.2500 0.7500
```



*2*
The following is a DFT calculation (PBE-GGA) of a geometry-optimized NpIrPt structure.

The structure in CIF format:
```
data_NpIrPt
_symmetry_space_group_name_H-M 'P -6 m 2'
_symmetry_Int_Tables_number 187
_symmetry_space_group_name_Hall 'P -6 2'
_cell_length_a 4.6788
_cell_length_b 4.6788
_cell_length_c 2.8755
_cell_angle_alpha 90.00
_cell_angle_beta 90.00
_cell_angle_gamma 120.00
loop_
_atom_site_label
_atom_site_fract_x
_atom_site_fract_y
_atom_site_fract_z
Np1 0.0000 0.0000 0.0000
Ir1 0.6667 0.3333 0.5000
Pt1 0.3333 0.6667 0.5000
```



Most stable one: *1*, least stable one: *2*.



*1*
The following is a DFT calculation (PBE-GGA) of a geometry-optimized PuNpIr structure.

The structure in CIF format:
```
data_PuNpIr
_symmetry_space_group_name_H-M 'P 3 m 1'
_symmetry_Int_Tables_number 156
_cell_length_a 4.7215
_cell_length_b 4.7215
_cell_length_c 2.8615
_cell_angle_alpha 90.00
_cell_angle_beta 90.00
_cell_angle_gamma 120.00
loop_
_symmetry_equiv_pos_as_xyz
'x,y,z'
'-y,x-y,z'
'-x+y,-x,z'
'-y,-x,z'
'-x+y,y,z'
'x,x-y,z'
loop_
_atom_site_label
_atom_site_fract_x
_atom_site_fract_y
_atom_site_fract_z
Pu1 0.0000 0.0000 0.0000
Np1 0.3333 0.6667 0.7749
Ir1 0.6667 0.3333 0.3957
```



*2*
The following is a DFT calculation (PBE-GGA) of a geometry-optimized PuNpIr structure.

The structure in CIF format:
```
data_PuNpIr
_symmetry_space_group_name_H-M 'C 1 2/m 1'
_symmetry_Int_Tables_number 12
_cell_length_a 9.8532
_cell_length_b 4.2635
_cell_length_c 5.2570
_cell_angle_alpha 90.00
_cell_angle_beta 98.21
_cell_angle_gamma 90.00
loop_
_symmetry_equiv_pos_as_xyz
'x,y,z'
'-x,-y,-z'
'-x,y,-z'
'x,-y,z'
'x+1/2,y+1/2,z'
'-x+1/2,-y+1/2,-z'
'-x+1/2,y+1/2,-z'
'x+1/2,-y+1/2,z'
loop_
_atom_site_label
_atom_site_fract_x
_atom_site_fract_y
_atom_site_fract_z
Pu1 0.0562 0.0000 0.2089
Np1 0.0683 0.5000 0.7120
Ir1 0.2499 0.0000 0.7119
```



Most stable one: *1*, least stable one: *2*.



*1*
The following is a DFT calculation (PBE-GGA) of a geometry-optimized PuNpIr structure.

The structure in CIF format:
```
data_PuNpIr
_symmetry_space_group_name_H-M 'I 4 m m'
_symmetry_Int_Tables_number 107
_symmetry_space_group_name_Hall 'I 4 -2'
_cell_length_a 3.3308
_cell_length_b 3.3308
_cell_length_c 9.8335
_cell_angle_alpha 90.00
_cell_angle_beta 90.00
_cell_angle_gamma 90.00
loop_
_atom_site_label
_atom_site_fract_x
_atom_site_fract_y
_atom_site_fract_z
Pu1 0.0000 0.0000 0.0000
Np1 0.0000 0.0000 0.3674
Ir1 0.0000 0.0000 0.6878
```



*2*
The following is a DFT calculation (PBE-GGA) of a geometry-optimized PuNpIr structure.

The structure in CIF format:
```
data_PuNpIr
_symmetry_space_group_name_H-M 'C 1 c 1'
_symmetry_Int_Tables_number 9
_cell_length_a 4.7629
_cell_length_b 4.8031
_cell_length_c 9.9484
_cell_angle_alpha 90.00
_cell_angle_beta 96.46
_cell_angle_gamma 90.00
loop_
_symmetry_equiv_pos_as_xyz
'x,y,z'
'x,-y,z+1/2'
'x+1/2,y+1/2,z'
'x+1/2,-y+1/2,z+1/2'
loop_
_atom_site_label
_atom_site_fract_x
_atom_site_fract_y
_atom_site_fract_z
Pu1 0.0000 0.1942 0.0000
Np1 0.4328 0.2997 0.1483
Ir1 0.4638 0.1885 0.8195
```



Most stable one: *2*, least stable one: *1*.



*1*
The following is a DFT calculation (PBE-GGA) of a geometry-optimized Pu2NpIr structure.

The structure in CIF format:
```
data_Pu2NpIr
_symmetry_space_group_name_H-M 'P -1'
_symmetry_Int_Tables_number 2
_cell_length_a 4.5188
_cell_length_b 4.5801
_cell_length_c 7.4260
_cell_angle_alpha 89.93
_cell_angle_beta 84.89
_cell_angle_gamma 90.00
loop_
_symmetry_equiv_pos_as_xyz
'x,y,z'
'-x,-y,-z'
loop_
_atom_site_label
_atom_site_fract_x
_atom_site_fract_y
_atom_site_fract_z
Pu1 0.2252 0.2503 0.0055
Pu2 0.2478 0.2500 0.4992
Np1 0.2188 0.7496 0.6718
Ir1 0.2834 0.7504 0.2417
```



*2*
The following is a DFT calculation (PBE-GGA) of a geometry-optimized Pu2NpIr structure.

The structure in CIF format:
```
data_Pu2NpIr
_symmetry_space_group_name_H-M 'F m -3 m'
_symmetry_Int_Tables_number 225
_symmetry_space_group_name_Hall '-F 4 2 3'
_cell_length_a 6.7369
_cell_length_b 6.7369
_cell_length_c 6.7369
_cell_angle_alpha 90.00
_cell_angle_beta 90.00
_cell_angle_gamma 90.00
loop_
_atom_site_label
_atom_site_fract_x
_atom_site_fract_y
_atom_site_fract_z
Pu1 0.2500 0.2500 0.2500
Np1 0.0000 0.0000 0.0000
Ir1 0.0000 0.0000 0.5000
```



Most stable one: *1*, least stable one: *2*.



*1*
The following is a DFT calculation (PBE-GGA) of a geometry-optimized NpReIr2 structure.

The structure in CIF format:
```
data_NpReIr2
_symmetry_space_group_name_H-M 'R -3 m'
_symmetry_Int_Tables_number 166
_symmetry_space_group_name_Hall '-R 3 2"'
_cell_length_a 2.7602
_cell_length_b 2.7602
_cell_length_c 29.2198
_cell_angle_alpha 90.00
_cell_angle_beta 90.00
_cell_angle_gamma 120.00
loop_
_atom_site_label
_atom_site_fract_x
_atom_site_fract_y
_atom_site_fract_z
Np1 0.0000 0.0000 0.0000
Re1 0.0000 0.0000 0.5000
Ir1 0.0000 0.0000 0.2424
```



*2*
The following is a DFT calculation (PBE-GGA) of a geometry-optimized NpReIr2 structure.

The structure in CIF format:
```
data_NpReIr2
_symmetry_space_group_name_H-M 'P 4/m m m'
_symmetry_Int_Tables_number 123
_symmetry_space_group_name_Hall '-P 4 2'
_cell_length_a 3.9838
_cell_length_b 3.9838
_cell_length_c 4.1059
_cell_angle_alpha 90.00
_cell_angle_beta 90.00
_cell_angle_gamma 90.00
loop_
_atom_site_label
_atom_site_fract_x
_atom_site_fract_y
_atom_site_fract_z
Np1 0.0000 0.0000 0.0000
Re1 0.5000 0.5000 0.0000
Ir1 0.0000 0.5000 0.5000
```



Most stable one: *2*, least stable one: *1*.



*1*
The following is a DFT calculation (PBE-GGA) of a geometry-optimized NpIrRh3 structure.

The structure in CIF format:
```
data_NpIrRh3
_symmetry_space_group_name_H-M 'I m m a'
_symmetry_Int_Tables_number 74
_symmetry_space_group_name_Hall '-I 2b 2'
_cell_length_a 5.5138
_cell_length_b 10.2908
_cell_length_c 6.8298
_cell_angle_alpha 90.00
_cell_angle_beta 90.00
_cell_angle_gamma 90.00
loop_
_atom_site_label
_atom_site_fract_x
_atom_site_fract_y
_atom_site_fract_z
Np1 0.0000 0.2500 0.0699
Ir1 0.0000 0.0000 0.5000
Rh1 0.0000 0.2500 0.4336
Rh2 0.2500 0.1201 0.7500
```



*2*
The following is a DFT calculation (PBE-GGA) of a geometry-optimized NpIrRh3 structure.

The structure in CIF format:
```
data_NpIrRh3
_symmetry_space_group_name_H-M 'P m m n'
_symmetry_Int_Tables_number 59
_cell_length_a 4.1745
_cell_length_b 6.3586
_cell_length_c 6.3102
_cell_angle_alpha 90.00
_cell_angle_beta 90.00
_cell_angle_gamma 90.00
loop_
_symmetry_equiv_pos_as_xyz
'x,y,z'
'-x,-y,-z'
'-x+1/2,-y+1/2,z'
'x+1/2,y+1/2,-z'
'x+1/2,-y,-z'
'-x+1/2,y,z'
'-x,y+1/2,-z'
'x,-y+1/2,z'
loop_
_atom_site_label
_atom_site_fract_x
_atom_site_fract_y
_atom_site_fract_z
Np1 0.2500 0.2500 0.2465
Ir1 0.2500 0.7500 0.0521
Rh1 0.2500 0.0476 0.7549
Rh2 0.2500 0.7500 0.4555
```



Most stable one: *2*, least stable one: *1*.



*1*
The following is a DFT calculation (PBE-GGA) of a geometry-optimized NpUIrRh structure.

The structure in CIF format:
```
data_NpUIrRh
_symmetry_space_group_name_H-M 'F -4 3 m'
_symmetry_Int_Tables_number 216
_symmetry_space_group_name_Hall 'F -4 2 3'
_cell_length_a 6.5270
_cell_length_b 6.5270
_cell_length_c 6.5270
_cell_angle_alpha 90.00
_cell_angle_beta 90.00
_cell_angle_gamma 90.00
loop_
_atom_site_label
_atom_site_fract_x
_atom_site_fract_y
_atom_site_fract_z
Np1 0.0000 0.0000 0.0000
U1 0.2500 0.2500 0.2500
Ir1 0.0000 0.0000 0.5000
Rh1 0.2500 0.2500 0.7500
```



*2*
The following is a DFT calculation (PBE-GGA) of a geometry-optimized NpUIrRh structure.

The structure in CIF format:
```
data_NpUIrRh
_symmetry_space_group_name_H-M 'F -4 3 m'
_symmetry_Int_Tables_number 216
_symmetry_space_group_name_Hall 'F -4 2 3'
_cell_length_a 6.8321
_cell_length_b 6.8321
_cell_length_c 6.8321
_cell_angle_alpha 90.00
_cell_angle_beta 90.00
_cell_angle_gamma 90.00
loop_
_atom_site_label
_atom_site_fract_x
_atom_site_fract_y
_atom_site_fract_z
Np1 0.0000 0.0000 0.0000
U1 0.0000 0.0000 0.5000
Ir1 0.2500 0.2500 0.2500
Rh1 0.2500 0.2500 0.7500
```



Most stable one: *1*, least stable one: *2*.



*1*
The following is a DFT calculation (PBE-GGA) of a geometry-optimized NpIrRu2 structure.

The structure in CIF format:
```
data_NpIrRu2
_symmetry_space_group_name_H-M 'P 4/m m m'
_symmetry_Int_Tables_number 123
_symmetry_space_group_name_Hall '-P 4 2'
_cell_length_a 4.0304
_cell_length_b 4.0304
_cell_length_c 3.9294
_cell_angle_alpha 90.00
_cell_angle_beta 90.00
_cell_angle_gamma 90.00
loop_
_atom_site_label
_atom_site_fract_x
_atom_site_fract_y
_atom_site_fract_z
Np1 0.0000 0.0000 0.0000
Ir1 0.5000 0.5000 0.0000
Ru1 0.0000 0.5000 0.5000
```



*2*
The following is a DFT calculation (PBE-GGA) of a geometry-optimized NpIrRu2 structure.

The structure in CIF format:
```
data_NpIrRu2
_symmetry_space_group_name_H-M 'R -3 m'
_symmetry_Int_Tables_number 166
_symmetry_space_group_name_Hall '-R 3 2"'
_cell_length_a 4.6560
_cell_length_b 4.6560
_cell_length_c 10.9224
_cell_angle_alpha 90.00
_cell_angle_beta 90.00
_cell_angle_gamma 120.00
loop_
_atom_site_label
_atom_site_fract_x
_atom_site_fract_y
_atom_site_fract_z
Np1 0.0000 0.0000 0.0000
Ir1 0.0000 0.0000 0.5000
Ru1 0.0000 0.0000 0.2147
```



Most stable one: *1*, least stable one: *2*.



*1*
The following is a DFT calculation (PBE-GGA) of a geometry-optimized NpUIrRu structure.

The structure in CIF format:
```
data_NpUIrRu
_symmetry_space_group_name_H-M 'F -4 3 m'
_symmetry_Int_Tables_number 216
_symmetry_space_group_name_Hall 'F -4 2 3'
_cell_length_a 6.5038
_cell_length_b 6.5038
_cell_length_c 6.5038
_cell_angle_alpha 90.00
_cell_angle_beta 90.00
_cell_angle_gamma 90.00
loop_
_atom_site_label
_atom_site_fract_x
_atom_site_fract_y
_atom_site_fract_z
Np1 0.0000 0.0000 0.0000
U1 0.2500 0.2500 0.2500
Ir1 0.2500 0.2500 0.7500
Ru1 0.0000 0.0000 0.5000
```



*2*
The following is a DFT calculation (PBE-GGA) of a geometry-optimized NpUIrRu structure.

The structure in CIF format:
```
data_NpUIrRu
_symmetry_space_group_name_H-M 'F -4 3 m'
_symmetry_Int_Tables_number 216
_symmetry_space_group_name_Hall 'F -4 2 3'
_cell_length_a 6.7900
_cell_length_b 6.7900
_cell_length_c 6.7900
_cell_angle_alpha 90.00
_cell_angle_beta 90.00
_cell_angle_gamma 90.00
loop_
_atom_site_label
_atom_site_fract_x
_atom_site_fract_y
_atom_site_fract_z
Np1 0.0000 0.0000 0.0000
U1 0.0000 0.0000 0.5000
Ir1 0.2500 0.2500 0.7500
Ru1 0.2500 0.2500 0.2500
```



Most stable one: *1*, least stable one: *2*.